Entry 1:
A plane-wave DFT calculation with PBE was carried out for a relaxed NiAg4Pb crystal.

The structure in extended XYZ format:
```
6
Lattice="0.000 3.907 3.907 3.907 0.000 3.907 3.907 3.907 0.000" Properties=species:S:1:pos:R:3 pbc="T T T"
Ni 0.000 0.000 0.000
Ag 2.926 2.926 2.926
Ag 4.888 4.888 2.926
Ag 4.888 2.926 4.888
Ag 2.926 4.888 4.888
Pb 5.860 5.860 5.860
```

Summary:
The formation energy is 0.35 eV per atom. Its raw total energy is -3.133 eV/atom.

---

Entry 2:
A plane-wave DFT calculation with PBE was carried out for a relaxed Ni2AgPb crystal.

The structure in extended XYZ format:
```
4
Lattice="0.000 3.184 3.184 3.184 0.000 3.184 3.184 3.184 0.000" Properties=species:S:1:pos:R:3 pbc="T T T"
Ni 0.000 0.000 0.000
Ni 1.592 1.592 1.592
Ag 3.184 3.184 3.184
Pb 4.777 4.777 4.777
```

Summary:
The formation energy is 0.36 eV per atom. Its raw total energy is -4.169 eV/atom. As for the relative energy among the computed polymorphs: 153 meV per atom.

---

Entry 3:
A plane-wave DFT calculation with PBE was carried out for a relaxed Ni2AgPb crystal.

The structure in extended XYZ format:
```
4
Lattice="4.852 -1.568 0.000 4.852 1.568 0.000 -1.445 0.000 4.262" Properties=species:S:1:pos:R:3 pbc="T T T"
Ni 0.000 0.000 0.000
Ni 6.412 0.000 1.235
Ag 3.789 0.000 1.981
Pb 1.190 0.000 3.469
```

Summary:
The formation energy is 0.28 eV per atom. Its raw total energy is -4.255 eV/atom. As for the relative energy among the computed polymorphs: 66 meV per atom.

---

Entry 4:
A plane-wave DFT calculation with PBE was carried out for a relaxed Ni2AgPb crystal.

The structure in extended XYZ format:
```
4
Lattice="3.128 0.000 0.000 0.000 3.128 0.000 0.000 0.000 6.988" Properties=species:S:1:pos:R:3 pbc="T T T"
Ni 0.000 0.000 0.000
Ni 1.564 1.564 1.071
Ag 1.564 1.564 5.363
Pb 0.000 0.000 2.906
```

Summary:
The formation energy is 0.27 eV per atom. Its raw total energy is -4.265 eV/atom. As for the relative energy among the computed polymorphs: 56 meV per atom.

---

Entry 5:
A plane-wave DFT calculation with PBE was carried out for a relaxed Ni2Ag2Pb crystal.

The structure in extended XYZ format:
```
5
Lattice="-1.943 1.943 5.970 1.943 -1.943 5.970 1.943 1.943 -5.970" Properties=species:S:1:pos:R:3 pbc="T T T"
Ni 0.000 0.000 1.156
Ni 0.000 0.000 10.784
Ag 1.943 0.000 2.985
Ag 0.000 1.943 2.985
Pb 0.000 0.000 5.970
```

Summary:
The formation energy is 0.34 eV per atom. Its raw total energy is -3.850 eV/atom. As for the relative energy among the computed polymorphs: 109 meV per atom.

---

Entry 6:
A plane-wave DFT calculation with PBE was carried out for a relaxed Ni2AgPb crystal.

The structure in extended XYZ format:
```
4
Lattice="1.602 0.925 7.732 -1.602 0.925 7.732 0.000 -1.850 7.732" Properties=species:S:1:pos:R:3 pbc="T T T"
Ni 0.000 0.000 5.782
Ni 0.000 0.000 17.415
Ag 0.000 0.000 11.598
Pb 0.000 0.000 0.000
```

Summary:
The formation energy is 0.46 eV per atom. Its raw total energy is -4.073 eV/atom. As for the relative energy among the computed polymorphs: 249 meV per atom.

---

Entry 7:
A plane-wave DFT calculation with PBE was carried out for a relaxed NiAgRhPb crystal.

The structure in extended XYZ format:
```
4
Lattice="0.000 3.217 3.217 3.217 0.000 3.217 3.217 3.217 0.000" Properties=species:S:1:pos:R:3 pbc="T T T"
Ni 0.000 0.000 0.000
Ag 4.826 4.826 4.826
Rh 3.217 3.217 3.217
Pb 1.609 1.609 1.609
```

Summary:
The formation energy is 0.15 eV per atom. Its raw total energy is -4.769 eV/atom.

---

Entry 8:
A plane-wave DFT calculation with PBE was carried out for a relaxed NiAgPbS2 crystal.

The structure in extended XYZ format:
```
5
Lattice="4.801 0.000 0.000 0.000 4.801 0.000 0.000 0.000 5.539" Properties=species:S:1:pos:R:3 pbc="T T T"
Ni 0.000 0.000 0.000
Ag 2.400 2.400 2.769
Pb 2.400 2.400 0.000
S 0.000 2.400 2.769
S 2.400 0.000 2.769
```

Summary:
For the raw formation energy, the calculation gives 984.8 meV/atom. Its raw total energy is -3.134 eV/atom.

---

Entry 9:
A plane-wave DFT calculation with PBE was carried out for a relaxed ScNiAgPb crystal.

The structure in extended XYZ format:
```
4
Lattice="0.000 3.340 3.340 3.340 0.000 3.340 3.340 3.340 0.000" Properties=species:S:1:pos:R:3 pbc="T T T"
Sc 0.000 0.000 0.000
Ni 5.010 5.010 5.010
Ag 1.670 1.670 1.670
Pb 3.340 3.340 3.340
```

Summary:
The formation energy is -0.15 eV per atom. Its raw total energy is -4.820 eV/atom.

---

Entry 10:
A plane-wave DFT calculation with PBE was carried out for a relaxed ThNiAgPb crystal.

The structure in extended XYZ format:
```
4
Lattice="0.000 3.530 3.530 3.530 0.000 3.530 3.530 3.530 0.000" Properties=species:S:1:pos:R:3 pbc="T T T"
Th 0.000 0.000 0.000
Ni 1.765 1.765 1.765
Ag 5.295 5.295 5.295
Pb 3.530 3.530 3.530
```

Summary:
The formation energy is -0.14 eV per atom. Its raw total energy is -5.079 eV/atom.

---

Entry 11:
A plane-wave DFT calculation with PBE was carried out for a relaxed Ti2NiAgPb crystal.

The structure in extended XYZ format:
```
5
Lattice="5.214 0.000 0.000 0.000 5.214 0.000 0.000 0.000 4.704" Properties=species:S:1:pos:R:3 pbc="T T T"
Ti 0.000 2.607 0.000
Ti 2.607 0.000 0.000
Ni 0.000 0.000 2.352
Ag 2.607 2.607 2.352
Pb 0.000 0.000 0.000
```

Summary:
The formation energy is 1.24 eV per atom. Its raw total energy is -4.388 eV/atom.

---

Entry 12:
A plane-wave DFT calculation with PBE was carried out for a relaxed YNiAgPb crystal.

The structure in extended XYZ format:
```
4
Lattice="0.000 3.444 3.444 3.444 0.000 3.444 3.444 3.444 0.000" Properties=species:S:1:pos:R:3 pbc="T T T"
Y 0.000 0.000 0.000
Ni 5.166 5.166 5.166
Ag 1.722 1.722 1.722
Pb 3.444 3.444 3.444
```

Summary:
The formation energy is -0.20 eV per atom. Its raw total energy is -4.901 eV/atom.

---

Ordered magnetization results: 0.02; 0.00; 0.00; 0.79; 0.00; 0.00; 0.00; 1.39; 0.00; 0.00; 3.00; 0.00; unit Bohr magnetons per cell.
Ordered density of states at the Fermi level results: 0.83; 0.88; 1.01; 0.93; 0.57; 0.92; 0.87; 1.36; 0.70; 0.54; 1.72; 0.72; unit states/eV/atom.